1.
A geometry-optimized Na2P2Pd structure, computed with GGA-PBEsol.

Unit cell a=6.082 b=6.082 c=4.722 alpha=90.00 beta=90.00 gamma=90.00
Space group P4/mbm (No. 127)
One atom of each set of equivalent atoms:
Na: 0.177 0.323 0.000 x4
P: 0.131 0.631 0.500 x4
Pd: 0.000 0.000 0.500 x2

Properties
N(E_F) in states/eV/atom: 0.36
ΔH_f (0 K) in eV/atom: -0.488
Total magnetization in μB/f.u.: 0.00

=====

2.
A geometry-optimized Na3PPd structure, computed with GGA-PBEsol.

Unit cell a=5.246 b=5.246 c=5.246 alpha=90.00 beta=90.00 gamma=90.00
Space group Pm-3m (No. 221)
One atom of each set of equivalent atoms:
Na: 0.000 0.000 0.500 x3
P: 0.000 0.000 0.000 x1
Pd: 0.500 0.500 0.500 x1

Properties
N(E_F) in states/eV/atom: 0.94
ΔH_f (0 K) in eV/atom: 0.410
Total magnetization in μB/f.u.: 0.00

=====

3.
A geometry-optimized NaP2Pt structure, computed with GGA-PBEsol.

Unit cell a=6.242 b=6.242 c=6.242 alpha=90.00 beta=90.00 gamma=90.00
Space group Fm-3m (No. 225)
One atom of each set of equivalent atoms:
Na: 0.000 0.000 0.000 x4
P: 0.250 0.250 0.250 x8
Pt: 0.000 0.000 0.500 x4

Properties
N(E_F) in states/eV/atom: 0.28
ΔH_f (0 K) in eV/atom: 0.011
Total magnetization in μB/f.u.: 0.00